First-principles (PBE) data for crystalline Y6MgZn at its relaxed geometry, as listed in Alexandria via LeMat-Bulk.

Computed properties:
The total energy comes out at -41.55 eV per cell. For the density of states at the Fermi level, the calculation gives 1.047 states/eV/atom. The value obtained for the energy above the most stable polymorph in this dataset is 98 meV per atom. The density is 4.45 g/cm³. For the total magnetic moment, the calculation gives 0.000 μB/atom.

Cell: 6.1614 6.1614 6.1614 Å, 93.60 93.60 93.60°
Closest atoms and distances in Å follow each position.
Positions (direct):
Y 0.0250 0.5526 0.7566  1 Zn 3.07, 2 Y 3.14-3.18, 1 Mg 3.44
Y 0.2434 0.9749 0.4474  1 Zn 3.07, 2 Y 3.14-3.18, 1 Mg 3.44
Y 0.4474 0.2434 0.9750  1 Zn 3.07, 2 Y 3.14-3.18, 1 Mg 3.44
Y 0.5526 0.7566 0.0250  1 Zn 3.07, 2 Y 3.14-3.18, 1 Mg 3.44
Y 0.7566 0.0250 0.5526  1 Zn 3.07, 2 Y 3.14-3.18, 1 Mg 3.44
Y 0.9750 0.4474 0.2434  1 Zn 3.07, 2 Y 3.14-3.18, 1 Mg 3.44
Mg 0.5000 0.5000 0.5000  12 Y 3.44-3.50
Zn 0.0000 0.0000 0.0000  6 Y 3.07